Below is a relaxed structure of K3PaFe2O9, with properties calculated at the PBE+U level.

Cell: 5.7519 5.7519 7.0909 Å, 90.00 90.00 120.00°
Last column: nearest neighbours and their distance in Å.
Fractional positions:
K: 0.0000 0.0000 0.0000  12 O 2.86-2.88
K: 0.3333 0.6667 0.6765  12 O 2.83-2.98
K: 0.6667 0.3333 0.3235  12 O 2.83-2.98
Pa: 0.0000 0.0000 0.5000  6 O 2.14
Fe: 0.3333 0.6667 0.1594  6 O 1.97-2.01
Fe: 0.6667 0.3333 0.8406  6 O 1.97-2.01
O: 0.0000 0.5000 0.0000  2 Fe 2.01
O: 0.1728 0.3456 0.3216  1 Fe 1.97, 1 Pa 2.14
O: 0.1728 0.8272 0.3216  1 Fe 1.97, 1 Pa 2.14
O: 0.3456 0.1728 0.6784  1 Fe 1.97, 1 Pa 2.14
O: 0.5000 0.0000 0.0000  2 Fe 2.01
O: 0.5000 0.5000 0.0000  2 Fe 2.01
O: 0.6544 0.8272 0.3216  1 Fe 1.97, 1 Pa 2.14
O: 0.8272 0.1728 0.6784  1 Fe 1.97, 1 Pa 2.14
O: 0.8272 0.6544 0.6784  1 Fe 1.97, 1 Pa 2.14

E_tot ... -6.277 eV/atom
Space group ... No. 164
Total magnetization ... 9.543 μB per cell